# 1
Density functional theory data (PBE) for a geometry-optimized Pr3YEr3Se8 structure.

Structure (POSCAR):
```
Pr3YEr3Se8
1.0
4.108 2.372 6.846
-4.108 2.372 6.846
0.000 -4.743 6.846
Pr Y Er Se
3 1 3 8
direct
0.000 0.500 0.500
0.500 0.000 0.500
0.500 0.500 0.000
0.500 0.500 0.500
0.000 0.000 0.500
0.000 0.500 0.000
0.500 0.000 0.000
0.237 0.750 0.750
0.243 0.243 0.243
0.250 0.250 0.763
0.250 0.763 0.250
0.750 0.237 0.750
0.750 0.750 0.237
0.757 0.757 0.757
0.763 0.250 0.250
```

Computed properties:
Energy in eV/atom: -6.00
Raw formation energy in meV per atom: -1844



# 2
Density functional theory data (PBE) for a geometry-optimized Pr2YErSe6 structure.

Structure (POSCAR):
```
Pr2YErSe6
1.0
3.687 2.129 6.505
-3.687 2.129 6.505
0.000 -4.258 6.505
Pr Y Er Se
2 1 1 6
direct
0.000 0.000 0.000
0.500 0.500 0.500
0.202 0.202 0.202
0.702 0.702 0.702
0.081 0.819 0.421
0.321 0.584 0.918
0.421 0.081 0.819
0.584 0.918 0.321
0.819 0.421 0.081
0.918 0.321 0.584
```

Computed properties:
Energy in eV/atom: -5.99
Raw formation energy in meV per atom: -1845



# 3
Density functional theory data (PBE) for a geometry-optimized PrY3Er2Se6 structure.

Structure (POSCAR):
```
PrY3Er2Se6
1.0
8.916 -2.039 0.000
8.916 2.039 0.000
-1.828 0.000 8.057
Pr Y Er Se
1 3 2 6
direct
0.000 0.000 0.000
0.000 0.000 0.500
0.339 0.339 0.165
0.661 0.661 0.835
0.336 0.336 0.670
0.664 0.664 0.330
0.169 0.169 0.582
0.173 0.173 0.091
0.497 0.497 0.737
0.503 0.503 0.263
0.827 0.827 0.909
0.831 0.831 0.418
```

Computed properties:
Energy in eV/atom: -6.27
Raw formation energy in meV per atom: -1752



# 4
Density functional theory data (PBE) for a geometry-optimized Pr3Y2ErSe6 structure.

Structure (POSCAR):
```
Pr3Y2ErSe6
1.0
3.562 -6.199 0.000
3.562 6.199 0.000
-2.389 0.000 6.958
Pr Y Er Se
3 2 1 6
direct
0.000 0.000 0.000
0.331 0.669 0.000
0.669 0.331 0.000
0.167 0.833 0.500
0.833 0.167 0.500
0.500 0.500 0.500
0.093 0.423 0.269
0.248 0.248 0.733
0.423 0.093 0.269
0.577 0.907 0.731
0.752 0.752 0.267
0.907 0.577 0.731
```

Computed properties:
Energy in eV/atom: -6.20
Raw formation energy in meV per atom: -1802



# 5
Density functional theory data (PBE) for a geometry-optimized Pr4Y3ErSe8 structure.

Structure (POSCAR):
```
Pr4Y3ErSe8
1.0
4.118 2.378 6.990
-4.118 2.378 6.990
0.000 -4.755 6.990
Pr Y Er Se
4 3 1 8
direct
0.000 0.000 0.000
0.000 0.500 0.500
0.500 0.000 0.500
0.500 0.500 0.000
0.000 0.000 0.500
0.000 0.500 0.000
0.500 0.000 0.000
0.500 0.500 0.500
0.244 0.244 0.244
0.246 0.742 0.742
0.258 0.258 0.754
0.258 0.754 0.258
0.742 0.246 0.742
0.742 0.742 0.246
0.754 0.258 0.258
0.756 0.756 0.756
```

Computed properties:
Energy in eV/atom: -6.23
Raw formation energy in meV per atom: -1800



# 6
Density functional theory data (PBE) for a geometry-optimized Pr2Y3ErSe6 structure.

Structure (POSCAR):
```
Pr2Y3ErSe6
1.0
9.023 -2.056 0.000
9.023 2.056 0.000
-1.932 0.000 8.115
Pr Y Er Se
2 3 1 6
direct
0.169 0.169 0.337
0.831 0.831 0.663
0.172 0.172 0.834
0.500 0.500 0.500
0.828 0.828 0.166
0.500 0.500 0.000
0.004 0.004 0.756
0.337 0.337 0.929
0.338 0.338 0.408
0.662 0.662 0.592
0.663 0.663 0.071
0.996 0.996 0.244
```

Computed properties:
Energy in eV/atom: -6.31
Raw formation energy in meV per atom: -1779



# 7
Density functional theory data (PBE) for a geometry-optimized PrY2ErSe4 structure.

Structure (POSCAR):
```
PrY2ErSe4
1.0
7.102 0.000 0.000
0.000 4.062 0.000
-2.330 0.000 6.865
Pr Y Er Se
1 2 1 4
direct
0.000 0.000 0.000
0.500 0.000 0.500
0.500 0.500 0.000
0.000 0.500 0.500
0.251 0.000 0.741
0.259 0.500 0.263
0.741 0.500 0.737
0.749 0.000 0.259
```

Computed properties:
Energy in eV/atom: -6.28
Raw formation energy in meV per atom: -1758



# 8
Density functional theory data (PBE) for a geometry-optimized Pr2YErSe5 structure.

Structure (POSCAR):
```
Pr2YErSe5
1.0
5.087 0.000 0.000
0.000 5.087 0.000
0.000 0.000 10.721
Pr Y Er Se
2 1 1 5
direct
0.000 0.000 0.198
0.000 0.000 0.802
0.500 0.500 0.500
0.500 0.500 0.000
0.000 0.000 0.500
0.000 0.500 0.000
0.500 0.000 0.000
0.500 0.500 0.254
0.500 0.500 0.746
```

Computed properties:
Energy in eV/atom: -5.54
Raw formation energy in meV per atom: -1320



# 9
Density functional theory data (PBE) for a geometry-optimized Pr2ErZnSe5 structure.

Structure (POSCAR):
```
Pr2ErZnSe5
1.0
2.018 -8.948 0.000
2.018 8.948 0.000
0.000 0.000 12.505
Pr Er Zn Se
4 2 2 10
direct
0.115 0.885 0.500
0.131 0.869 0.132
0.869 0.131 0.632
0.885 0.115 0.000
0.199 0.801 0.832
0.801 0.199 0.332
0.447 0.553 0.265
0.553 0.447 0.765
0.043 0.957 0.875
0.289 0.711 0.490
0.314 0.686 0.172
0.356 0.644 0.819
0.496 0.504 0.591
0.504 0.496 0.091
0.644 0.356 0.319
0.686 0.314 0.672
0.711 0.289 0.990
0.957 0.043 0.375
```

Computed properties:
Energy in eV/atom: -5.24
Raw formation energy in meV per atom: -1595



# 10
Density functional theory data (PBE) for a geometry-optimized Pr2ErSi2 structure.

Structure (POSCAR):
```
Pr2ErSi2
1.0
7.610 0.000 0.000
0.000 7.610 0.000
0.000 0.000 4.441
Pr Er Si
4 2 4
direct
0.177 0.323 0.000
0.323 0.823 0.000
0.677 0.177 0.000
0.823 0.677 0.000
0.000 0.000 0.500
0.500 0.500 0.500
0.114 0.614 0.500
0.386 0.114 0.500
0.614 0.886 0.500
0.886 0.386 0.500
```

Computed properties:
Energy in eV/atom: -5.67
Raw formation energy in meV per atom: -680
Excess energy over the best structure of this formula in the dataset in eV/atom: 0.000



# 11
Density functional theory data (PBE) for a geometry-optimized PrErSi structure.

Structure (POSCAR):
```
PrErSi
1.0
5.839 -2.140 0.000
5.839 2.140 0.000
-5.032 0.000 6.526
Pr Er Si
2 2 2
direct
0.085 0.085 0.358
0.915 0.915 0.642
0.321 0.321 0.923
0.679 0.679 0.077
0.378 0.378 0.336
0.622 0.622 0.664
```

Computed properties:
Energy in eV/atom: -5.42
Raw formation energy in meV per atom: -502
Excess energy over the best structure of this formula in the dataset in eV/atom: 0.036



# 12
Density functional theory data (PBE) for a geometry-optimized Pr2Er3Si4 structure.

Structure (POSCAR):
```
Pr2Er3Si4
1.0
7.733 0.000 0.000
0.000 7.785 0.000
-2.204 0.000 7.144
Pr Er Si
4 6 8
direct
0.197 0.176 0.081
0.197 0.324 0.581
0.803 0.676 0.419
0.803 0.824 0.919
0.246 0.680 0.253
0.246 0.820 0.753
0.500 0.000 0.500
0.500 0.500 0.000
0.754 0.180 0.247
0.754 0.320 0.747
0.078 0.533 0.877
0.078 0.967 0.377
0.494 0.119 0.876
0.494 0.381 0.376
0.506 0.619 0.624
0.506 0.881 0.124
0.922 0.033 0.623
0.922 0.467 0.123
```

Computed properties:
Energy in eV/atom: -5.76
Raw formation energy in meV per atom: -763



# 13
Density functional theory data (PBE) for a geometry-optimized Pr2ErSi2 structure.

Structure (POSCAR):
```
Pr2ErSi2
1.0
6.246 -2.190 0.000
6.246 2.190 0.000
-4.914 0.000 9.624
Pr Er Si
4 2 4
direct
0.015 0.015 0.189
0.180 0.180 0.592
0.820 0.820 0.408
0.985 0.985 0.811
0.275 0.275 0.132
0.725 0.725 0.868
0.390 0.390 0.946
0.492 0.492 0.607
0.508 0.508 0.393
0.610 0.610 0.054
```

Computed properties:
Energy in eV/atom: -5.62
Raw formation energy in meV per atom: -625
Excess energy over the best structure of this formula in the dataset in eV/atom: 0.055



# 14
Density functional theory data (PBE) for a geometry-optimized PrEr2Si4 structure.

Structure (POSCAR):
```
PrEr2Si4
1.0
-1.944 2.145 8.757
1.944 -2.145 8.757
1.944 2.145 -8.757
Pr Er Si
1 2 4
direct
0.000 0.000 0.000
0.183 0.683 0.500
0.817 0.317 0.500
0.348 0.848 0.500
0.432 0.432 0.000
0.568 0.568 0.000
0.652 0.152 0.500
```

Computed properties:
Energy in eV/atom: -5.84
Raw formation energy in meV per atom: -752



# 15
Density functional theory data (PBE) for a geometry-optimized PrErSi structure.

Structure (POSCAR):
```
PrErSi
1.0
4.708 0.000 0.000
-2.354 4.077 0.000
0.000 0.000 4.271
Pr Er Si
1 1 1
direct
0.000 0.000 0.000
0.667 0.333 0.527
0.333 0.667 0.385
```

Computed properties:
Energy in eV/atom: -5.24
Raw formation energy in meV per atom: -322
Excess energy over the best structure of this formula in the dataset in eV/atom: 0.216



# 16
Density functional theory data (PBE) for a geometry-optimized PrEr2Si structure.

Structure (POSCAR):
```
PrEr2Si
1.0
1.849 1.068 9.836
-1.849 1.068 9.836
0.000 -2.135 9.836
Pr Er Si
1 2 1
direct
0.000 0.000 0.000
0.230 0.230 0.230
0.770 0.770 0.770
0.500 0.500 0.500
```

Computed properties:
Energy in eV/atom: -5.01
Raw formation energy in meV per atom: -176



# 17
Density functional theory data (PBE) for a geometry-optimized PrErSi structure.

Structure (POSCAR):
```
PrErSi
1.0
7.953 0.000 0.000
-3.977 6.888 0.000
0.000 0.000 4.315
Pr Er Si
3 3 3
direct
0.000 0.405 0.000
0.405 0.000 0.000
0.595 0.595 0.000
0.000 0.741 0.500
0.259 0.259 0.500
0.741 0.000 0.500
0.000 0.000 0.000
0.333 0.667 0.500
0.667 0.333 0.500
```

Computed properties:
Energy in eV/atom: -5.46
Raw formation energy in meV per atom: -538
Excess energy over the best structure of this formula in the dataset in eV/atom: 0.000



# 18
Density functional theory data (PBE) for a geometry-optimized PrErSi structure.

Structure (POSCAR):
```
PrErSi
1.0
2.085 -6.367 0.000
2.085 6.367 0.000
0.000 0.000 6.146
Pr Er Si
2 2 2
direct
0.000 0.000 0.000
0.000 0.000 0.500
0.289 0.711 0.750
0.711 0.289 0.250
0.363 0.637 0.250
0.637 0.363 0.750
```

Computed properties:
Energy in eV/atom: -5.37
Raw formation energy in meV per atom: -451
Excess energy over the best structure of this formula in the dataset in eV/atom: 0.087



# 19
Density functional theory data (PBE) for a geometry-optimized PrErSi structure.

Structure (POSCAR):
```
PrErSi
1.0
0.000 3.490 3.490
3.490 0.000 3.490
3.490 3.490 0.000
Pr Er Si
1 1 1
direct
0.000 0.000 0.000
0.500 0.500 0.500
0.750 0.750 0.750
```

Computed properties:
Energy in eV/atom: -5.35
Raw formation energy in meV per atom: -429
Excess energy over the best structure of this formula in the dataset in eV/atom: 0.109



# 20
Density functional theory data (PBE) for a geometry-optimized Pr4SmEr7 structure.

Structure (POSCAR):
```
Pr4SmEr7
1.0
6.597 0.000 0.000
1.045 6.787 0.000
2.007 0.607 8.833
Pr Sm Er
4 1 7
direct
0.139 0.309 0.287
0.332 0.887 0.692
0.668 0.113 0.308
0.861 0.691 0.713
0.500 0.500 0.000
0.012 0.251 0.952
0.180 0.799 0.356
0.315 0.395 0.619
0.500 0.000 0.000
0.685 0.605 0.381
0.820 0.201 0.644
0.988 0.749 0.048
```

Computed properties:
Energy in eV/atom: -4.56
Excess energy over the best structure of this formula in the dataset in eV/atom: 0.000
Energy of formation in eV/atom: 0.09